#1
KLi2W: relaxed, PBE-GGA.

Cell and atoms, written as POSCAR:
```
KLi2W
1.0
2.6808 0.0000 0.0000
0.0000 5.6583 0.0000
0.0000 0.0000 6.0317
K Li W
1 2 1
direct
0.0000 0.0000 0.0000
0.0000 0.5000 0.5000
0.5000 0.5000 0.0000
0.5000 0.0000 0.5000
```


#2
KLi2W: relaxed, PBE-GGA.

Cell and atoms, written as POSCAR:
```
KLi2W
1.0
4.9023 -1.3156 0.0000
4.9023 1.3156 0.0000
-0.2938 0.0000 7.1630
K Li W
1 2 1
direct
0.0000 0.0000 0.0000
0.2389 0.2389 0.6625
0.7611 0.7611 0.3375
0.5000 0.5000 0.5000
```


#3
KLi2W: relaxed, PBE-GGA.

Cell and atoms, written as POSCAR:
```
KLi2W
1.0
2.6037 0.0000 0.0000
0.0000 4.6917 0.0000
0.0000 0.0000 7.3426
K Li W
1 2 1
direct
0.0000 0.0000 0.0000
0.5000 0.5000 0.3354
0.5000 0.5000 0.6646
0.0000 0.0000 0.5000
```


#4
KLi2W: relaxed, PBE-GGA.

Cell and atoms, written as POSCAR:
```
KLi2W
1.0
-4.0371 4.0371 3.3586
4.0371 -4.0371 3.3586
4.0371 4.0371 -3.3586
K Li W
2 4 2
direct
0.0000 0.0000 0.0000
0.7500 0.2500 0.5000
0.1593 0.1250 0.5343
0.3750 0.8407 0.9657
0.5907 0.6250 0.4657
0.8750 0.4093 0.0343
0.2500 0.7500 0.5000
0.5000 0.5000 0.0000
```


Least stable = #4


#1
KLiY2: relaxed, PBE-GGA.

Cell and atoms, written as POSCAR:
```
KLiY2
1.0
-2.3729 2.3729 6.2965
2.3729 -2.3729 6.2965
2.3729 2.3729 -6.2965
K Li Y
1 1 2
direct
0.0000 0.0000 0.0000
0.5000 0.5000 0.0000
0.2500 0.7500 0.5000
0.7500 0.2500 0.5000
```


#2
KLiY2: relaxed, PBE-GGA.

Cell and atoms, written as POSCAR:
```
KLiY2
1.0
3.3718 0.0000 0.0000
0.0000 6.1290 0.0000
0.0000 0.0000 6.7424
K Li Y
1 1 2
direct
0.0000 0.0000 0.0000
0.0000 0.0000 0.5000
0.5000 0.5000 0.2664
0.5000 0.5000 0.7336
```


#3
KLiY2: relaxed, PBE-GGA.

Cell and atoms, written as POSCAR:
```
KLiY2
1.0
-2.5465 2.5465 5.3557
2.5465 -2.5465 5.3557
2.5465 2.5465 -5.3557
K Li Y
1 1 2
direct
0.0000 0.0000 0.0000
0.2500 0.7500 0.5000
0.5000 0.5000 0.0000
0.7500 0.2500 0.5000
```


#4
KLiY2: relaxed, PBE-GGA.

Cell and atoms, written as POSCAR:
```
KLiY2
1.0
3.3232 -6.3394 0.0000
3.3232 6.3394 0.0000
0.0000 0.0000 3.3456
K Li Y
1 1 2
direct
0.0000 0.0000 0.0000
0.5000 0.5000 0.0000
0.0000 0.5000 0.5000
0.5000 0.0000 0.5000
```


Least stable = #3


#1
KLiY2: relaxed, PBE-GGA.

Cell and atoms, written as POSCAR:
```
KLiY2
1.0
4.7455 0.0000 0.0000
0.0000 4.7455 0.0000
0.0000 0.0000 6.2272
K Li Y
1 1 2
direct
0.0000 0.0000 0.0000
0.5000 0.5000 0.0000
0.0000 0.5000 0.5000
0.5000 0.0000 0.5000
```


#2
KLiY2: relaxed, PBE-GGA.

Cell and atoms, written as POSCAR:
```
KLiY2
1.0
3.6392 0.0000 0.0000
0.0000 3.6400 0.0000
-0.0075 0.0000 10.9932
K Li Y
1 1 2
direct
0.0000 0.0000 0.0000
0.4987 0.5000 0.7307
0.4969 0.5000 0.3165
0.9973 0.0000 0.5312
```


#3
KLiY2: relaxed, PBE-GGA.

Cell and atoms, written as POSCAR:
```
KLiY2
1.0
1.7647 1.0188 12.5989
-1.7647 1.0188 12.5989
0.0000 -2.0377 12.5989
K Li Y
1 1 2
direct
0.0000 0.0000 0.0000
0.5000 0.5000 0.5000
0.2365 0.2365 0.2365
0.7635 0.7635 0.7635
```


Least stable = #1


#1
KLiY3: relaxed, PBE-GGA.

Cell and atoms, written as POSCAR:
```
KLiY3
1.0
5.5746 0.0000 0.0000
0.0000 5.5746 0.0000
0.0000 0.0000 5.5746
K Li Y
1 1 3
direct
0.0000 0.0000 0.0000
0.5000 0.5000 0.5000
0.0000 0.0000 0.5000
0.0000 0.5000 0.0000
0.5000 0.0000 0.0000
```


#2
KLiY3: relaxed, PBE-GGA.

Cell and atoms, written as POSCAR:
```
KLiY3
1.0
5.6670 0.0000 0.0000
0.0000 5.6670 0.0000
0.0000 0.0000 5.6670
K Li Y
1 1 3
direct
0.0000 0.0000 0.0000
0.5000 0.5000 0.5000
0.0000 0.5000 0.5000
0.5000 0.0000 0.5000
0.5000 0.5000 0.0000
```


Least stable = #1


#1
KLi3Y: relaxed, PBE-GGA.

Cell and atoms, written as POSCAR:
```
KLi3Y
1.0
5.2932 0.0000 0.0000
0.0000 5.2932 0.0000
0.0000 0.0000 5.2932
K Li Y
1 3 1
direct
0.0000 0.0000 0.0000
0.0000 0.0000 0.5000
0.0000 0.5000 0.0000
0.5000 0.0000 0.0000
0.5000 0.5000 0.5000
```


#2
KLi3Y: relaxed, PBE-GGA.

Cell and atoms, written as POSCAR:
```
KLi3Y
1.0
6.0668 0.0000 0.0000
0.0000 6.0668 0.0000
0.0000 0.0000 6.0668
K Li Y
1 3 1
direct
0.0000 0.0000 0.0000
0.0000 0.5000 0.5000
0.5000 0.0000 0.5000
0.5000 0.5000 0.0000
0.5000 0.5000 0.5000
```


Least stable = #2


#1
KLi2Zn2: relaxed, PBE-GGA.

Cell and atoms, written as POSCAR:
```
KLi2Zn2
1.0
-2.2852 2.2852 6.0144
2.2852 -2.2852 6.0144
2.2852 2.2852 -6.0144
K Li Zn
1 2 2
direct
0.0000 0.0000 0.0000
0.2500 0.7500 0.5000
0.7500 0.2500 0.5000
0.3915 0.3915 0.0000
0.6085 0.6085 0.0000
```


#2
KLi2Zn2: relaxed, PBE-GGA.

Cell and atoms, written as POSCAR:
```
KLi2Zn2
1.0
8.4415 0.0000 0.0000
0.0000 8.4415 0.0000
0.0000 0.0000 2.9959
K Li Zn
2 4 4
direct
0.0000 0.0000 0.0000
0.5000 0.5000 0.0000
0.1720 0.3280 0.0000
0.3280 0.8280 0.0000
0.6720 0.1720 0.0000
0.8280 0.6720 0.0000
0.1123 0.6123 0.5000
0.3877 0.1123 0.5000
0.6123 0.8877 0.5000
0.8877 0.3877 0.5000
```


Least stable = #1


#1
KLiZn: relaxed, PBE-GGA.

Cell and atoms, written as POSCAR:
```
KLiZn
1.0
0.0000 3.9089 3.9089
3.9089 0.0000 3.9089
3.9089 3.9089 0.0000
K Li Zn
1 1 1
direct
0.0000 0.0000 0.0000
0.7500 0.7500 0.7500
0.2500 0.2500 0.2500
```


#2
KLiZn: relaxed, PBE-GGA.

Cell and atoms, written as POSCAR:
```
KLiZn
1.0
4.8190 0.0000 0.0000
-2.4095 4.1734 0.0000
0.0000 0.0000 4.8866
K Li Zn
1 1 1
direct
0.0000 0.0000 0.0000
0.6667 0.3333 0.5000
0.3333 0.6667 0.5000
```


#3
KLiZn: relaxed, PBE-GGA.

Cell and atoms, written as POSCAR:
```
KLiZn
1.0
-1.8288 1.9184 6.2252
1.8288 -1.9184 6.2252
1.8288 1.9184 -6.2252
K Li Zn
1 1 1
direct
0.0000 0.0000 0.0000
0.7330 0.7330 0.0000
0.2893 0.2893 0.0000
```


#4
KLiZn: relaxed, PBE-GGA.

Cell and atoms, written as POSCAR:
```
KLiZn
1.0
0.0000 3.7891 3.7891
3.7891 0.0000 3.7891
3.7891 3.7891 0.0000
K Li Zn
1 1 1
direct
0.0000 0.0000 0.0000
0.5000 0.5000 0.5000
0.2500 0.2500 0.2500
```


Least stable = #1


#1
KLiZn2: relaxed, PBE-GGA.

Cell and atoms, written as POSCAR:
```
KLiZn2
1.0
3.1796 0.0000 0.0000
0.0000 4.4846 0.0000
-0.1458 0.0000 7.0015
K Li Zn
1 1 2
direct
0.0000 0.0000 0.0000
0.9723 0.5000 0.3864
0.4822 0.0000 0.4899
0.4861 0.5000 0.6940
```


#2
KLiZn2: relaxed, PBE-GGA.

Cell and atoms, written as POSCAR:
```
KLiZn2
1.0
-2.4106 2.4106 4.4237
2.4106 -2.4106 4.4237
2.4106 2.4106 -4.4237
K Li Zn
1 1 2
direct
0.0000 0.0000 0.0000
0.5000 0.5000 0.0000
0.2500 0.7500 0.5000
0.7500 0.2500 0.5000
```


#3
KLiZn2: relaxed, PBE-GGA.

Cell and atoms, written as POSCAR:
```
KLiZn2
1.0
3.8917 -2.2434 0.0000
3.8917 2.2434 0.0000
-2.5836 0.0000 6.2098
K Li Zn
1 1 2
direct
0.0000 0.0000 0.0000
0.1821 0.1821 0.5458
0.4828 0.4828 0.4477
0.8107 0.8107 0.4311
```


Least stable = #2